VASP calculation (GGA-PBE) on a relaxed CsTlCdIn crystal.

Computed properties:
Final energy = -1.78 eV/atom
Space-group type = R3m, No. 160
Crystal system = trigonal
ρ = 5.82 g cm⁻³
Energy relative to the lowest polymorph listed for this composition = 0 meV per atom
Energy relative to the elements = -0.064 eV per atom

Lattice parameters (Å, degrees): 5.0628 5.0628 7.8267 71.13 71.13 60.00
Sites, in units of the cell vectors:
Cd1 0.2972 0.2972 0.1083
Tl1 0.0165 0.0165 0.9506
Cs1 0.8086 0.8086 0.5742
In1 0.6036 0.6036 0.1892

---

VASP calculation (GGA-PBE) on a relaxed CsTl2Cd4In crystal.

Computed properties:
Final energy = -1.49 eV/atom
Space-group type = R-3m, No. 166
Crystal system = trigonal
ρ = 6.91 g cm⁻³
Energy relative to the elements = 0.004 eV per atom

Lattice parameters (Å, degrees): 5.1422 5.1422 11.9789 77.61 77.61 60.00
Sites, in units of the cell vectors:
Cd1 0.4083 0.4083 0.7751
In1 0.5000 0.5000 0.5000
Cs1 0.0000 0.0000 0.0000
Tl1 0.2378 0.2378 0.2865
Tl2 0.7622 0.7622 0.7135
Cd2 0.8651 0.8651 0.4047
Cd3 0.5917 0.5917 0.2249
Cd4 0.1349 0.1349 0.5953